## Er2Mn2O7 (PBE with a Hubbard U)

Data for an optimized crystal structure of Er2Mn2O7.

Cell lengths 7.0582, 7.0582, 7.0582 Å; angles 60.00, 60.00, 60.00 degrees
Closest atoms and distances in Å follow each position.
Atoms (fractional coordinates):
Er  0.0000  0.0000  0.0000  2 O 2.16
Er  0.0000  0.0000  0.5000  2 O 2.16
Er  0.0000  0.5000  0.0000  2 O 2.16
Er  0.5000  0.0000  0.0000  2 O 2.16
Mn  0.0000  0.5000  0.5000  6 O 1.94
Mn  0.5000  0.0000  0.5000  6 O 1.94
Mn  0.5000  0.5000  0.0000  6 O 1.94
Mn  0.5000  0.5000  0.5000  6 O 1.94
O  0.1250  0.1250  0.1250  4 Er 2.16
O  0.1683  0.1683  0.5817  2 Mn 1.94
O  0.1683  0.5817  0.1683  2 Mn 1.94
O  0.1683  0.5817  0.5817  2 Mn 1.94
O  0.4183  0.4183  0.8317  2 Mn 1.94
O  0.4183  0.8317  0.4183  2 Mn 1.94
O  0.4183  0.8317  0.8317  2 Mn 1.94
O  0.5817  0.1683  0.1683  2 Mn 1.94
O  0.5817  0.1683  0.5817  2 Mn 1.94
O  0.5817  0.5817  0.1683  2 Mn 1.94
O  0.8317  0.4183  0.4183  2 Mn 1.94
O  0.8317  0.4183  0.8317  2 Mn 1.94
O  0.8317  0.8317  0.4183  2 Mn 1.94
O  0.8750  0.8750  0.8750  4 Er 2.16

Calculated values
Crystal system: cubic
Electronic total energy in eV per formula unit: -85.896
Density in g cm⁻³: 7.43
Magnetization in μB per atom: 0.543